The following is a DFT calculation (PBE) of a relaxed structure of PRhSe2N.

Cell lengths 5.0590, 5.0590, 3.6324 Å; angles 90.00, 90.00, 90.00 degrees
Element x y z (fractional)
1 P 0.0000 0.0000 0.0000
2 Rh 0.5000 0.5000 0.5000
3 Se 0.0000 0.5000 0.5000
4 Se 0.5000 0.0000 0.5000
5 N 0.5000 0.5000 0.0000

**Symmetry**: P4/mmm
**Formation energy from raw total energies**: 0.738 eV/atom
**Energy above the lowest structure with this stoichiometry**: 0.145 eV per atom
**Crystal system**: tetragonal


The following is a DFT calculation (PBE) of a relaxed structure of PRhSe2N.

Cell lengths 4.9394, 4.9394, 3.1679 Å; angles 90.00, 90.00, 90.00 degrees
Element x y z (fractional)
1 P 0.0000 0.0000 0.0000
2 Rh 0.5000 0.5000 0.5000
3 Se 0.0000 0.5000 0.0000
4 Se 0.5000 0.0000 0.0000
5 N 0.0000 0.0000 0.5000

**Symmetry**: P4/mmm
**Formation energy from raw total energies**: 0.592 eV/atom
**Energy above the lowest structure with this stoichiometry**: 0.000 eV per atom
**Crystal system**: tetragonal


The following is a DFT calculation (PBE) of a relaxed structure of SmPRhN.

Cell lengths 3.8750, 3.8750, 8.1105 Å; angles 90.00, 90.00, 90.00 degrees
Element x y z (fractional)
1 Sm 0.2500 0.2500 0.1627
2 Sm 0.7500 0.7500 0.8373
3 P 0.2500 0.2500 0.6646
4 P 0.7500 0.7500 0.3354
5 Rh 0.2500 0.7500 0.5000
6 Rh 0.7500 0.2500 0.5000
7 N 0.2500 0.2500 0.8721
8 N 0.7500 0.7500 0.1279

**Symmetry**: P4/nmm
**Formation energy from raw total energies**: -1.173 eV/atom
**Crystal system**: tetragonal


The following is a DFT calculation (PBE) of a relaxed structure of TbPRhN.

Cell lengths 3.8424, 3.8424, 8.0197 Å; angles 90.00, 90.00, 90.00 degrees
Element x y z (fractional)
1 Tb 0.2500 0.2500 0.1619
2 Tb 0.7500 0.7500 0.8381
3 P 0.2500 0.2500 0.6675
4 P 0.7500 0.7500 0.3325
5 Rh 0.2500 0.7500 0.5000
6 Rh 0.7500 0.2500 0.5000
7 N 0.2500 0.2500 0.8771
8 N 0.7500 0.7500 0.1229

**Symmetry**: P4/nmm
**Formation energy from raw total energies**: -1.169 eV/atom
**Crystal system**: tetragonal


The following is a DFT calculation (PBE) of a relaxed structure of Te2PRhN.

Cell lengths 5.3912, 5.3912, 3.6532 Å; angles 90.00, 90.00, 90.00 degrees
Element x y z (fractional)
1 Te 0.0000 0.5000 0.0000
2 Te 0.5000 0.0000 0.0000
3 P 0.0000 0.0000 0.5000
4 Rh 0.5000 0.5000 0.0000
5 N 0.5000 0.5000 0.5000

**Symmetry**: P4/mmm
**Formation energy from raw total energies**: 0.648 eV/atom
**Energy above the lowest structure with this stoichiometry**: 0.105 eV per atom
**Crystal system**: tetragonal


The following is a DFT calculation (PBE) of a relaxed structure of TePRhN2.

Cell lengths 3.7873, 3.7873, 6.1643 Å; angles 90.00, 90.00, 90.00 degrees
Element x y z (fractional)
1 Te 0.0000 0.0000 0.0000
2 P 0.5000 0.5000 0.0000
3 Rh 0.0000 0.0000 0.5000
4 N 0.0000 0.5000 0.5000
5 N 0.5000 0.0000 0.5000

**Symmetry**: P4/mmm
**Formation energy from raw total energies**: 1.177 eV/atom
**Energy above the lowest structure with this stoichiometry**: 0.140 eV per atom
**Crystal system**: tetragonal


The following is a DFT calculation (PBE) of a relaxed structure of Te2PRhN.

Cell lengths 5.2857, 5.2857, 3.2324 Å; angles 90.00, 90.00, 90.00 degrees
Element x y z (fractional)
1 Te 0.0000 0.5000 0.0000
2 Te 0.5000 0.0000 0.0000
3 P 0.0000 0.0000 0.0000
4 Rh 0.5000 0.5000 0.5000
5 N 0.0000 0.0000 0.5000

**Symmetry**: P4/mmm
**Formation energy from raw total energies**: 0.543 eV/atom
**Energy above the lowest structure with this stoichiometry**: 0.000 eV per atom
**Crystal system**: tetragonal


The following is a DFT calculation (PBE) of a relaxed structure of TePRh2N.

Cell lengths 3.9814, 3.9814, 5.1453 Å; angles 90.00, 90.00, 90.00 degrees
Element x y z (fractional)
1 Te 0.0000 0.0000 0.0000
2 P 0.5000 0.5000 0.0000
3 Rh 0.0000 0.5000 0.5000
4 Rh 0.5000 0.0000 0.5000
5 N 0.0000 0.0000 0.5000

**Symmetry**: P4/mmm
**Formation energy from raw total energies**: 0.663 eV/atom
**Crystal system**: tetragonal


The following is a DFT calculation (PBE) of a relaxed structure of TePRhN2.

Cell lengths 3.5005, 3.5005, 7.7473 Å; angles 90.00, 90.00, 90.00 degrees
Element x y z (fractional)
1 Te 0.0000 0.0000 0.0000
2 P 0.0000 0.0000 0.5000
3 Rh 0.5000 0.5000 0.0000
4 N 0.0000 0.5000 0.5000
5 N 0.5000 0.0000 0.5000

**Symmetry**: P4/mmm
**Formation energy from raw total energies**: 1.037 eV/atom
**Energy above the lowest structure with this stoichiometry**: 0.000 eV per atom
**Crystal system**: tetragonal


The following is a DFT calculation (PBE) of a relaxed structure of ThPRhN.

Cell lengths 4.0580, 4.0580, 8.4235 Å; angles 90.00, 90.00, 90.00 degrees
Element x y z (fractional)
1 Th 0.2500 0.2500 0.1383
2 Th 0.7500 0.7500 0.8617
3 P 0.2500 0.2500 0.6474
4 P 0.7500 0.7500 0.3526
5 Rh 0.2500 0.7500 0.5000
6 Rh 0.7500 0.2500 0.5000
7 N 0.2500 0.7500 0.0000
8 N 0.7500 0.2500 0.0000

**Symmetry**: P4/nmm
**Formation energy from raw total energies**: -1.344 eV/atom
**Crystal system**: tetragonal


The following is a DFT calculation (PBE) of a relaxed structure of UPRhN.

Cell lengths 3.8596, 3.8596, 7.9631 Å; angles 90.00, 90.00, 90.00 degrees
Element x y z (fractional)
1 U 0.2500 0.2500 0.1471
2 U 0.7500 0.7500 0.8529
3 P 0.2500 0.2500 0.6733
4 P 0.7500 0.7500 0.3267
5 Rh 0.2500 0.7500 0.5000
6 Rh 0.7500 0.2500 0.5000
7 N 0.2500 0.7500 0.0000
8 N 0.7500 0.2500 0.0000

**Symmetry**: P4/nmm
**Formation energy from raw total energies**: -1.169 eV/atom
**Crystal system**: tetragonal


The following is a DFT calculation (PBE) of a relaxed structure of ZrP2RhN.

Cell lengths 5.0406, 5.0406, 4.0103 Å; angles 90.00, 90.00, 90.00 degrees
Element x y z (fractional)
1 Zr 0.0000 0.0000 0.0000
2 P 0.0000 0.5000 0.0000
3 P 0.5000 0.0000 0.0000
4 Rh 0.5000 0.5000 0.5000
5 N 0.0000 0.0000 0.5000

**Symmetry**: P4/mmm
**Formation energy from raw total energies**: 0.916 eV/atom
**Crystal system**: tetragonal


The following is a DFT calculation (PBE) of a relaxed structure of PRu3N.

Cell lengths 4.0161, 4.0161, 4.0161 Å; angles 90.00, 90.00, 90.00 degrees
Element x y z (fractional)
1 P 0.0000 0.0000 0.0000
2 Ru 0.0000 0.5000 0.5000
3 Ru 0.5000 0.0000 0.5000
4 Ru 0.5000 0.5000 0.0000
5 N 0.5000 0.5000 0.5000

**Symmetry**: Pm-3m
**Formation energy from raw total energies**: 0.428 eV/atom
**Energy above the lowest structure with this stoichiometry**: 0.000 eV per atom
**Crystal system**: cubic


The following is a DFT calculation (PBE) of a relaxed structure of P3Ru2N.

Cell lengths 4.1455, 4.6161, 5.0249 Å; angles 68.57, 66.19, 77.38 degrees
Element x y z (fractional)
1 P 0.0000 0.0000 0.0000
2 P 0.2439 0.9869 0.4642
3 P 0.6294 0.4182 0.8795
4 Ru 0.6391 0.6099 0.3381
5 Ru 0.6396 0.9534 0.7335
6 N 0.3093 0.3647 0.2382

**Symmetry**: P1
**Formation energy from raw total energies**: -0.084 eV/atom
**Energy above the lowest structure with this stoichiometry**: 0.259 eV per atom
**Crystal system**: triclinic


The following is a DFT calculation (PBE) of a relaxed structure of P3RuN.

Cell lengths 4.7408, 4.7408, 5.5331 Å; angles 115.46, 115.46, 39.79 degrees
Element x y z (fractional)
1 P 0.0000 0.0000 0.0000
2 P 0.0273 0.0273 0.4188
3 P 0.3556 0.3556 0.4016
4 Ru 0.3012 0.3012 0.7627
5 N 0.2053 0.2053 0.0764

**Symmetry**: Cm
**Formation energy from raw total energies**: -0.281 eV/atom
**Energy above the lowest structure with this stoichiometry**: 0.000 eV per atom
**Crystal system**: monoclinic


The following is a DFT calculation (PBE) of a relaxed structure of P3RuN.

Cell lengths 5.2568, 5.2568, 6.4820 Å; angles 123.54, 123.54, 30.19 degrees
Element x y z (fractional)
1 P 0.0000 0.0000 0.0000
2 P 0.0392 0.0392 0.3821
3 P 0.8139 0.8139 0.3660
4 Ru 0.3228 0.3228 0.6763
5 N 0.2057 0.2057 0.1391

**Symmetry**: Cm
**Formation energy from raw total energies**: 0.076 eV/atom
**Energy above the lowest structure with this stoichiometry**: 0.357 eV per atom
**Crystal system**: monoclinic


The following is a DFT calculation (PBE) of a relaxed structure of P3RuN.

Cell lengths 4.9967, 2.8379, 5.1082 Å; angles 90.00, 106.20, 90.00 degrees
Element x y z (fractional)
1 P 0.0000 0.0000 0.0000
2 P 0.3056 0.0000 0.4216
3 P 0.6314 0.5000 0.0972
4 Ru 0.2242 0.5000 0.7484
5 N 0.6036 0.0000 0.3200

**Symmetry**: Pm
**Formation energy from raw total energies**: -0.045 eV/atom
**Energy above the lowest structure with this stoichiometry**: 0.236 eV per atom
**Crystal system**: monoclinic


The following is a DFT calculation (PBE) of a relaxed structure of P3RuN.

Cell lengths 3.2752, 4.0990, 5.8028 Å; angles 74.51, 84.91, 77.88 degrees
Element x y z (fractional)
1 P 0.0000 0.0000 0.0000
2 P 0.0599 0.4704 0.7046
3 P 0.4962 0.8953 0.2716
4 Ru 0.6415 0.3143 0.4883
5 N 0.9105 0.8366 0.7774

**Symmetry**: P1
**Formation energy from raw total energies**: -0.060 eV/atom
**Energy above the lowest structure with this stoichiometry**: 0.221 eV per atom
**Crystal system**: triclinic


The following is a DFT calculation (PBE) of a relaxed structure of P3Ru2N.

Cell lengths 5.3797, 5.3797, 5.5795 Å; angles 110.35, 110.35, 32.83 degrees
Element x y z (fractional)
1 P 0.0000 0.0000 0.0000
2 P 0.1232 0.1232 0.5919
3 P 0.2957 0.2957 0.2492
4 Ru 0.4678 0.4678 0.6743
5 Ru 0.7731 0.7731 0.9151
6 N 0.1321 0.1321 0.2895

**Symmetry**: Cm
**Formation energy from raw total energies**: -0.343 eV/atom
**Energy above the lowest structure with this stoichiometry**: 0.000 eV per atom
**Crystal system**: monoclinic


The following is a DFT calculation (PBE) of a relaxed structure of P3RuN.

Cell lengths 4.0726, 4.2019, 4.3872 Å; angles 83.30, 84.90, 70.56 degrees
Element x y z (fractional)
1 P 0.0000 0.0000 0.0000
2 P 0.2594 0.4973 0.8518
3 P 0.6237 0.9749 0.3859
4 Ru 0.7973 0.3846 0.5992
5 N 0.2381 0.1971 0.1880

**Symmetry**: P1
**Formation energy from raw total energies**: -0.198 eV/atom
**Energy above the lowest structure with this stoichiometry**: 0.083 eV per atom
**Crystal system**: triclinic